(1)
First-principles (GGA-PBE) data for MgZnCoAg after structural relaxation, as listed in Alexandria.

Values from the calculation:
E_form = 0.052 eV/atom
ρ = 7.13 g/cm³
VASP energy = -3.154 eV/atom

Lattice parameters (Å, degrees): 6.205 6.205 6.205 90.00 90.00 90.00
Space group F-43m (No. 216)
Symmetry-distinct sites (fractional):
Mg  0.000  0.000  0.000 (multiplicity 4)
Zn  0.000  0.000  0.500 (multiplicity 4)
Co  0.250  0.250  0.750 (multiplicity 4)
Ag  0.250  0.250  0.250 (multiplicity 4)

(2)
First-principles (GGA-PBE) data for Ta6ZnC after structural relaxation, as listed in Alexandria.

Values from the calculation:
E_form = 0.225 eV/atom
ρ = 13.98 g/cm³
VASP energy = -9.977 eV/atom

Lattice parameters (Å, degrees): 5.630 5.635 5.975 90.23 117.82 119.93
Space group P-1 (No. 2)
Symmetry-distinct sites (fractional):
Ta  0.057  0.070  0.270 (multiplicity 2)
Ta  0.284  0.714  0.271 (multiplicity 2)
Ta  0.295  0.510  0.728 (multiplicity 2)
Zn  0.500  0.000  0.000 (multiplicity 1)
C  0.500  0.500  0.500 (multiplicity 1)

(3)
First-principles (GGA-PBE) data for CeCdSnGe after structural relaxation, as listed in Alexandria.

Values from the calculation:
E_form = -0.461 eV/atom
ρ = 7.79 g/cm³
VASP energy = -4.328 eV/atom

Lattice parameters (Å, degrees): 4.333 4.483 4.870 90.00 90.00 90.00
Space group Pmmm (No. 47)
Symmetry-distinct sites (fractional):
Ce  0.000  0.000  0.000 (multiplicity 1)
Cd  0.000  0.500  0.500 (multiplicity 1)
Sn  0.500  0.000  0.500 (multiplicity 1)
Ge  0.500  0.500  0.000 (multiplicity 1)